The following is a DFT calculation (PBE) of crystalline NbO2 at its relaxed geometry.

Output
Volume in Å³/cell: 60.7
Uncorrected energy in eV per cell: -37.64

Cell lengths 4.4125, 4.4125, 4.4125 Å; angles 60.00, 60.00, 60.00 degrees
Element x y z (fractional)
Nb1 0.1250 0.1250 0.1250
Nb2 0.8750 0.8750 0.8750
O1 0.0000 0.5000 0.5000
O2 0.5000 0.0000 0.5000
O3 0.5000 0.5000 0.0000
O4 0.5000 0.5000 0.5000

=====

The following is a DFT calculation (PBE) of crystalline NbO2 at its relaxed geometry.

Output
Volume in Å³/cell: 72.3
Uncorrected energy in eV per cell: -52.73

Cell lengths 3.1429, 3.1429, 8.4475 Å; angles 90.00, 90.00, 120.00 degrees
Element x y z (fractional)
Nb1 0.3333 0.6667 0.0000
Nb2 0.6667 0.3333 0.5000
O1 0.0000 0.0000 0.1204
O2 0.0000 0.0000 0.6204
O3 0.3333 0.6667 0.3771
O4 0.6667 0.3333 0.8771

=====

The following is a DFT calculation (PBE) of crystalline Nb2O3 at its relaxed geometry.

Output
Volume in Å³/cell: 118.6
Uncorrected energy in eV per cell: -90.44

Cell lengths 5.1879, 2.9669, 7.8102 Å; angles 90.00, 99.53, 90.00 degrees
Element x y z (fractional)
Nb1 0.1353 0.2500 0.1373
Nb2 0.2981 0.2500 0.5236
Nb3 0.7019 0.7500 0.4764
Nb4 0.8647 0.7500 0.8627
O1 0.0520 0.7500 0.3399
O2 0.2576 0.7500 0.9882
O3 0.4926 0.7500 0.6932
O4 0.5074 0.2500 0.3068
O5 0.7424 0.2500 0.0118
O6 0.9480 0.2500 0.6601

=====

The following is a DFT calculation (PBE) of crystalline Nb2O3 at its relaxed geometry.

Output
Volume in Å³/cell: 116.4
Uncorrected energy in eV per cell: -91.65

Cell lengths 6.0230, 6.0230, 7.5182 Å; angles 111.62, 111.62, 27.47 degrees
Element x y z (fractional)
Nb1 0.1602 0.1602 0.3579
Nb2 0.3372 0.3372 0.1545
Nb3 0.6628 0.6628 0.8455
Nb4 0.8398 0.8398 0.6421
O1 0.0259 0.0259 0.7962
O2 0.3114 0.3114 0.8470
O3 0.3644 0.3644 0.4481
O4 0.6356 0.6356 0.5519
O5 0.6886 0.6886 0.1530
O6 0.9741 0.9741 0.2038

=====

The following is a DFT calculation (PBE) of crystalline Nb2O3 at its relaxed geometry.

Output
Volume in Å³/cell: 238.2
Uncorrected energy in eV per cell: -180.83

Cell lengths 4.8036, 9.7485, 5.0867 Å; angles 90.00, 90.00, 90.00 degrees
Element x y z (fractional)
Nb1 0.0511 0.1470 0.1561
Nb2 0.0511 0.3530 0.6561
Nb3 0.4489 0.1470 0.6561
Nb4 0.4489 0.3530 0.1561
Nb5 0.5511 0.6470 0.8439
Nb6 0.5511 0.8530 0.3439
Nb7 0.9489 0.6470 0.3439
Nb8 0.9489 0.8530 0.8439
O1 0.2288 0.0199 0.8824
O2 0.2288 0.4801 0.3824
O3 0.2500 0.7500 0.1091
O4 0.2500 0.7500 0.6091
O5 0.2712 0.0199 0.3824
O6 0.2712 0.4801 0.8824
O7 0.7288 0.5199 0.1176
O8 0.7288 0.9801 0.6176
O9 0.7500 0.2500 0.3909
O10 0.7500 0.2500 0.8909
O11 0.7712 0.5199 0.6176
O12 0.7712 0.9801 0.1176

=====

The following is a DFT calculation (PBE) of crystalline Nb4O5 at its relaxed geometry.

Output
Volume in Å³/cell: 105.8
Uncorrected energy in eV per cell: -76.20

Cell lengths 3.7534, 3.7534, 7.5076 Å; angles 90.00, 90.00, 90.00 degrees
Element x y z (fractional)
Nb1 0.0000 0.0000 0.0000
Nb2 0.0000 0.0000 0.5000
Nb3 0.5000 0.5000 0.2017
Nb4 0.5000 0.5000 0.7983
O1 0.0000 0.5000 0.3019
O2 0.0000 0.5000 0.6981
O3 0.5000 0.0000 0.3019
O4 0.5000 0.0000 0.6981
O5 0.5000 0.5000 0.5000

=====

The following is a DFT calculation (PBE) of crystalline NbO2 at its relaxed geometry.

Output
Volume in Å³/cell: 36.5
Uncorrected energy in eV per cell: -26.37

Cell lengths 3.1320, 3.1320, 4.2984 Å; angles 90.00, 90.00, 120.00 degrees
Element x y z (fractional)
Nb1 0.0000 0.0000 0.0000
O1 0.3333 0.6667 0.7588
O2 0.6667 0.3333 0.2412

=====

The following is a DFT calculation (PBE) of crystalline NbOsO4 at its relaxed geometry.

Output
Volume in Å³/cell: 140.9
Uncorrected energy in eV per cell: -98.27

Cell lengths 5.6818, 5.6818, 5.6818 Å; angles 111.01, 111.01, 106.43 degrees
Element x y z (fractional)
Nb1 0.3750 0.6250 0.7500
Nb2 0.6250 0.3750 0.2500
Os1 0.1250 0.8750 0.2500
Os2 0.8750 0.1250 0.7500
O1 0.0844 0.6533 0.4311
O2 0.2778 0.3467 0.9311
O3 0.3467 0.2778 0.4311
O4 0.3467 0.9156 0.0689
O5 0.6533 0.0844 0.9311
O6 0.6533 0.7222 0.5689
O7 0.7222 0.6533 0.0689
O8 0.9156 0.3467 0.5689

=====

The following is a DFT calculation (PBE) of crystalline Nb2Os2O5 at its relaxed geometry.

Output
Volume in Å³/cell: 100.9
Offset from the most stable computed form in eV per atom: 0.080
Uncorrected energy in eV per cell: -71.22

Cell lengths 3.4657, 3.4657, 8.3982 Å; angles 90.00, 90.00, 90.00 degrees
Element x y z (fractional)
Nb1 0.0000 0.0000 0.1938
Nb2 0.0000 0.0000 0.8062
Os1 0.5000 0.5000 0.0000
Os2 0.5000 0.5000 0.5000
O1 0.0000 0.0000 0.5000
O2 0.0000 0.5000 0.3141
O3 0.0000 0.5000 0.6859
O4 0.5000 0.0000 0.3141
O5 0.5000 0.0000 0.6859

=====

The following is a DFT calculation (PBE) of crystalline NbOs2O4 at its relaxed geometry.

Output
Volume in Å³/cell: 170.6
Uncorrected energy in eV per cell: -109.71

Cell lengths 6.2251, 6.2251, 6.2251 Å; angles 60.00, 60.00, 60.00 degrees
Element x y z (fractional)
Nb1 0.1250 0.1250 0.1250
Nb2 0.8750 0.8750 0.8750
Os1 0.0000 0.5000 0.5000
Os2 0.5000 0.0000 0.5000
Os3 0.5000 0.5000 0.0000
Os4 0.5000 0.5000 0.5000
O1 0.2615 0.2615 0.2615
O2 0.2615 0.2615 0.7154
O3 0.2615 0.7154 0.2615
O4 0.2846 0.7385 0.7385
O5 0.7154 0.2615 0.2615
O6 0.7385 0.2846 0.7385
O7 0.7385 0.7385 0.2846
O8 0.7385 0.7385 0.7385

=====

The following is a DFT calculation (PBE) of crystalline Nb2Os2O5 at its relaxed geometry.

Output
Volume in Å³/cell: 97.6
Offset from the most stable computed form in eV per atom: 0.000
Uncorrected energy in eV per cell: -71.94

Cell lengths 3.7446, 3.7446, 6.9631 Å; angles 90.00, 90.00, 90.00 degrees
Element x y z (fractional)
Nb1 0.0000 0.0000 0.0000
Nb2 0.0000 0.0000 0.5000
Os1 0.5000 0.5000 0.1915
Os2 0.5000 0.5000 0.8085
O1 0.0000 0.5000 0.2925
O2 0.0000 0.5000 0.7075
O3 0.5000 0.0000 0.2925
O4 0.5000 0.0000 0.7075
O5 0.5000 0.5000 0.5000

=====

The following is a DFT calculation (PBE) of crystalline NbPO5 at its relaxed geometry.

Output
Volume in Å³/cell: 786.3
Offset from the most stable computed form in eV per atom: 0.005
Uncorrected energy in eV per cell: -457.82

Cell lengths 13.0851, 5.2582, 13.1554 Å; angles 90.00, 119.69, 90.00 degrees
Element x y z (fractional)
Nb1 0.0624 0.2409 0.1978
Nb2 0.0624 0.2591 0.6978
Nb3 0.4378 0.7448 0.1352
Nb4 0.4378 0.7552 0.6352
Nb5 0.5622 0.2448 0.3648
Nb6 0.5622 0.2552 0.8648
Nb7 0.9376 0.7409 0.3022
Nb8 0.9376 0.7591 0.8022
P1 0.1554 0.7286 0.0911
P2 0.1554 0.7714 0.5911
P3 0.3450 0.2344 0.9372
P4 0.3450 0.2656 0.4372
P5 0.6550 0.7344 0.5628
P6 0.6550 0.7656 0.0628
P7 0.8446 0.2286 0.4089
P8 0.8446 0.2714 0.9089
O1 0.0126 0.5544 0.2345
O2 0.0126 0.9456 0.7345
O3 0.0855 0.7315 0.4579
O4 0.0855 0.7685 0.9579
O5 0.1153 0.5774 0.6511
O6 0.1153 0.9226 0.1511
O7 0.1399 0.0449 0.6211
O8 0.1399 0.4551 0.1211
O9 0.2132 0.2451 0.3465
O10 0.2132 0.2549 0.8465
O11 0.2859 0.7204 0.6330
O12 0.2859 0.7796 0.1330
O13 0.3709 0.5378 0.4845
O14 0.3709 0.9622 0.9845
O15 0.3717 0.0705 0.5337
O16 0.3717 0.4295 0.0337
O17 0.4158 0.2005 0.3757
O18 0.4158 0.2995 0.8757
O19 0.4970 0.0500 0.2246
O20 0.4970 0.4500 0.7246
O21 0.5030 0.5500 0.2754
O22 0.5030 0.9500 0.7754
O23 0.5842 0.7005 0.1243
O24 0.5842 0.7995 0.6243
O25 0.6283 0.5705 0.9663
O26 0.6283 0.9295 0.4663
O27 0.6291 0.0378 0.0155
O28 0.6291 0.4622 0.5155
O29 0.7141 0.2204 0.8670
O30 0.7141 0.2796 0.3670
O31 0.7868 0.7451 0.1535
O32 0.7868 0.7549 0.6535
O33 0.8601 0.5449 0.8789
O34 0.8601 0.9551 0.3789
O35 0.8847 0.0774 0.8489
O36 0.8847 0.4226 0.3489
O37 0.9145 0.2315 0.0421
O38 0.9145 0.2685 0.5421
O39 0.9874 0.0544 0.2655
O40 0.9874 0.4456 0.7655

=====

no.,magnetization (μB per formula unit)
1,1.33
2,1.00
3,0.01
4,0.00
5,0.00
6,2.02
7,1.00
8,0.64
9,1.70
10,0.98
11,0.37
12,0.00